Entry 1:
# ScSiP

A relaxed ScSiP crystal (GGA-PBE, Alexandria via LeMat-Bulk).

Values from the calculation:
Formation energy without anion corrections   -0.27 eV per atom
Symmetry   P3m1 (156)
Polymorph energy (0 for the lowest one)   0.242 eV/atom

a = 3.393 Å, b = 3.393 Å, c = 5.428 Å
α = 90.00°, β = 90.00°, γ = 120.00°
Positions (direct):
Sc  0.000  0.000  0.000
Si  0.667  0.333  0.402
P  0.333  0.667  0.645

Entry 2:
# Si4HgSe

A relaxed Si4HgSe crystal (GGA-PBE, Alexandria via LeMat-Bulk).

Values from the calculation:
Formation energy without anion corrections   0.61 eV per atom
Symmetry   F-43m (216)

a = 5.367 Å, b = 5.367 Å, c = 5.367 Å
α = 60.00°, β = 60.00°, γ = 60.00°
Positions (direct):
Si  0.125  0.125  0.125
Si  0.125  0.125  0.625
Si  0.125  0.625  0.125
Si  0.625  0.125  0.125
Hg  0.750  0.750  0.750
Se  0.500  0.500  0.500

Entry 3:
# Ce3Bi2

A relaxed Ce3Bi2 crystal (GGA-PBE, Alexandria via LeMat-Bulk).

Values from the calculation:
Symmetry   Pnma (62)
Polymorph energy (0 for the lowest one)   0.000 eV/atom

a = 12.805 Å, b = 4.520 Å, c = 11.785 Å
α = 90.00°, β = 90.00°, γ = 90.00°
Positions (direct):
Ce  0.045  0.250  0.123
Ce  0.131  0.750  0.565
Ce  0.224  0.250  0.787
Ce  0.276  0.750  0.287
Ce  0.369  0.250  0.065
Ce  0.455  0.750  0.623
Ce  0.545  0.250  0.377
Ce  0.631  0.750  0.935
Ce  0.724  0.250  0.713
Ce  0.776  0.750  0.213
Ce  0.869  0.250  0.435
Ce  0.955  0.750  0.877
Bi  0.016  0.750  0.319
Bi  0.192  0.750  0.995
Bi  0.308  0.250  0.495
Bi  0.484  0.250  0.819
Bi  0.516  0.750  0.181
Bi  0.692  0.750  0.505
Bi  0.808  0.250  0.005
Bi  0.984  0.250  0.681

Entry 4:
# Ta3CuRe

A relaxed Ta3CuRe crystal (GGA-PBE, Alexandria via LeMat-Bulk).

Values from the calculation:
Symmetry   Pm-3m (221)
Polymorph energy (0 for the lowest one)   0.000 eV/atom

a = 4.559 Å, b = 4.559 Å, c = 4.559 Å
α = 90.00°, β = 90.00°, γ = 90.00°
Positions (direct):
Ta  0.000  0.000  0.500
Ta  0.000  0.500  0.000
Ta  0.500  0.000  0.000
Cu  0.000  0.000  0.000
Re  0.500  0.500  0.500

Entry 5:
# PdBr2F

A relaxed PdBr2F crystal (GGA-PBE, Alexandria via LeMat-Bulk).

Values from the calculation:
Formation energy without anion corrections   -0.06 eV per atom
Symmetry   I-42d (122)
Polymorph energy (0 for the lowest one)   0.543 eV/atom

a = 6.998 Å, b = 6.998 Å, c = 6.998 Å
α = 127.12°, β = 127.12°, γ = 78.06°
Positions (direct):
Pd  0.000  0.000  0.000
Pd  0.750  0.250  0.500
Br  0.085  0.625  0.960
Br  0.375  0.335  0.460
Br  0.665  0.125  0.040
Br  0.875  0.915  0.540
F  0.250  0.750  0.500
F  0.500  0.500  0.000

Entry 6:
# Ho2Pd4Au3

A relaxed Ho2Pd4Au3 crystal (GGA-PBE, Alexandria via LeMat-Bulk).

Values from the calculation:
Symmetry   C2/m (12)
Final energy   -46.374 eV/cell

a = 5.064 Å, b = 5.064 Å, c = 8.807 Å
α = 104.92°, β = 104.92°, γ = 49.59°
Positions (direct):
Ho  0.169  0.169  0.222
Ho  0.831  0.831  0.778
Pd  0.166  0.166  0.894
Pd  0.499  0.499  0.668
Pd  0.501  0.501  0.332
Pd  0.834  0.834  0.106
Au  0.161  0.161  0.556
Au  0.500  0.500  0.000
Au  0.839  0.839  0.444

Entry 7:
# Pm4AgTe2Se

A relaxed Pm4AgTe2Se crystal (GGA-PBE, Alexandria via LeMat-Bulk).

Values from the calculation:
Formation energy without anion corrections   -1.21 eV per atom
Symmetry   P2/m (10)

a = 7.612 Å, b = 4.286 Å, c = 7.634 Å
α = 90.00°, β = 108.72°, γ = 90.00°
Positions (direct):
Pm  0.232  0.000  0.237
Pm  0.235  0.500  0.747
Pm  0.765  0.500  0.253
Pm  0.768  0.000  0.763
Ag  0.000  0.000  0.500
Te  0.500  0.000  0.000
Te  0.500  0.500  0.500
Se  0.000  0.500  0.000

Entry 8:
# Tc8Sb

A relaxed Tc8Sb crystal (GGA-PBE, Alexandria via LeMat-Bulk).

Values from the calculation:
Formation energy without anion corrections   0.04 eV per atom
Symmetry   I4/mmm (139)

a = 6.238 Å, b = 6.238 Å, c = 6.238 Å
α = 95.71°, β = 95.71°, γ = 143.21°
Positions (direct):
Tc  0.000  0.345  0.345
Tc  0.000  0.655  0.655
Tc  0.321  0.321  0.642
Tc  0.321  0.679  0.000
Tc  0.345  0.000  0.345
Tc  0.655  0.000  0.655
Tc  0.679  0.321  0.000
Tc  0.679  0.679  0.358
Sb  0.000  0.000  0.000

Entry 9:
# Fe4Ir15Os

A relaxed Fe4Ir15Os crystal (GGA-PBE, Alexandria via LeMat-Bulk).

Values from the calculation:
Symmetry   P4/mmm (123)
Final energy   -178.557 eV/cell

a = 3.843 Å, b = 3.843 Å, c = 19.149 Å
α = 90.00°, β = 90.00°, γ = 90.00°
Positions (direct):
Fe  0.000  0.000  0.100
Fe  0.000  0.000  0.298
Fe  0.000  0.000  0.702
Fe  0.000  0.000  0.900
Ir  0.000  0.500  0.000
Ir  0.000  0.500  0.199
Ir  0.000  0.500  0.399
Ir  0.000  0.500  0.601
Ir  0.000  0.500  0.801
Ir  0.500  0.000  0.000
Ir  0.500  0.000  0.199
Ir  0.500  0.000  0.399
Ir  0.500  0.000  0.601
Ir  0.500  0.000  0.801
Ir  0.500  0.500  0.100
Ir  0.500  0.500  0.300
Ir  0.500  0.500  0.500
Ir  0.500  0.500  0.700
Ir  0.500  0.500  0.900
Os  0.000  0.000  0.500

Entry 10:
# BaMoS2N

A relaxed BaMoS2N crystal (GGA-PBE, Alexandria via LeMat-Bulk).

Values from the calculation:
Formation energy without anion corrections   1.61 eV per atom
Symmetry   P4/mmm (123)
Polymorph energy (0 for the lowest one)   2.478 eV/atom

a = 5.792 Å, b = 5.792 Å, c = 4.580 Å
α = 90.00°, β = 90.00°, γ = 90.00°
Positions (direct):
Ba  0.000  0.000  0.000
Mo  0.500  0.500  0.500
S  0.000  0.500  0.000
S  0.500  0.000  0.000
N  0.000  0.000  0.500

Entry 11:
# Fe2Hg2Br7

A relaxed Fe2Hg2Br7 crystal (GGA-PBE, Alexandria via LeMat-Bulk).

Values from the calculation:
Formation energy without anion corrections   -0.34 eV per atom
Symmetry   C2/m (12)

a = 7.498 Å, b = 7.498 Å, c = 7.185 Å
α = 92.35°, β = 92.35°, γ = 100.93°
Positions (direct):
Fe  0.248  0.248  0.076
Fe  0.752  0.752  0.924
Hg  0.379  0.621  0.500
Hg  0.621  0.379  0.500
Br  0.069  0.406  0.265
Br  0.126  0.126  0.788
Br  0.406  0.069  0.265
Br  0.500  0.500  0.000
Br  0.594  0.931  0.735
Br  0.874  0.874  0.212
Br  0.931  0.594  0.735

Entry 12:
# AsSe3

A relaxed AsSe3 crystal (GGA-PBE, Alexandria via LeMat-Bulk).

Values from the calculation:
Formation energy without anion corrections   0.30 eV per atom
Symmetry   P-6m2 (187)
Polymorph energy (0 for the lowest one)   0.234 eV/atom

a = 3.636 Å, b = 3.636 Å, c = 7.685 Å
α = 90.00°, β = 90.00°, γ = 120.00°
Positions (direct):
As  0.000  0.000  0.000
Se  0.000  0.000  0.500
Se  0.667  0.333  0.235
Se  0.667  0.333  0.765